(1)
The following is a PBE-GGA calculation of an optimized crystal structure of SrBeCo, from the Alexandria database.

a b c (Å): 6.3148 6.3148 6.3148
angles (deg): 90.00 90.00 90.00
With the nearest neighbours (Å) after each atom.
Element x y z (fractional)
Sr 0.0000 0.0000 0.0000  4 Be 2.73
Sr 0.0000 0.5000 0.5000  4 Be 2.73
Sr 0.5000 0.0000 0.5000  4 Be 2.73
Sr 0.5000 0.5000 0.0000  4 Be 2.73
Be 0.2500 0.2500 0.7500  4 Co 2.73, 4 Sr 2.73
Be 0.2500 0.7500 0.2500  4 Co 2.73, 4 Sr 2.73
Be 0.7500 0.2500 0.2500  4 Co 2.73, 4 Sr 2.73
Be 0.7500 0.7500 0.7500  4 Co 2.73, 4 Sr 2.73
Co 0.0000 0.0000 0.5000  4 Be 2.73
Co 0.0000 0.5000 0.0000  4 Be 2.73
Co 0.5000 0.0000 0.0000  4 Be 2.73
Co 0.5000 0.5000 0.5000  4 Be 2.73

- Space group: F-43m, No. 216
- Energy of formation: 0.89 eV/atom
- Relative energy among the computed polymorphs: 579 meV/atom


(2)
The following is a PBE-GGA calculation of an optimized crystal structure of Nd3AgPt, from the Alexandria database.

a b c (Å): 9.3074 7.7184 8.4310
angles (deg): 90.00 106.21 90.00
With the nearest neighbours (Å) after each atom.
Element x y z (fractional)
Nd 0.0774 0.0073 0.2173  1 Pt 2.96, 4 Ag 2.99-3.24
Nd 0.0774 0.4927 0.7173  1 Pt 2.96, 4 Ag 2.99-3.24
Nd 0.3092 0.1496 0.6198  3 Pt 2.92-3.06
Nd 0.3092 0.3504 0.1198  3 Pt 2.92-3.06
Nd 0.3612 0.6817 0.5006  3 Pt 3.09-3.23, 1 Ag 3.12
Nd 0.3612 0.8183 0.0006  3 Pt 3.09-3.23, 1 Ag 3.12
Nd 0.6388 0.1817 0.9994  3 Pt 3.09-3.23, 1 Ag 3.12
Nd 0.6388 0.3183 0.4994  3 Pt 3.09-3.23, 1 Ag 3.12
Nd 0.6908 0.6496 0.8802  3 Pt 2.92-3.06
Nd 0.6908 0.8504 0.3802  3 Pt 2.92-3.06
Nd 0.9226 0.5073 0.2827  1 Pt 2.96, 4 Ag 2.99-3.24
Nd 0.9226 0.9927 0.7827  1 Pt 2.96, 4 Ag 2.99-3.24
Ag 0.0569 0.6746 0.0306  1 Ag 2.89, 4 Nd 2.99-3.12
Ag 0.0569 0.8254 0.5306  1 Ag 2.89, 4 Nd 2.99-3.12
Ag 0.9431 0.1746 0.4694  1 Ag 2.89, 4 Nd 2.99-3.12
Ag 0.9431 0.3254 0.9694  1 Ag 2.89, 4 Nd 2.99-3.12
Pt 0.4080 0.0370 0.3182  7 Nd 2.92-3.23, 1 Pt 3.12
Pt 0.4080 0.4630 0.8182  7 Nd 2.92-3.23, 1 Pt 3.12
Pt 0.5920 0.5370 0.1818  7 Nd 2.92-3.23, 1 Pt 3.12
Pt 0.5920 0.9630 0.6818  7 Nd 2.92-3.23, 1 Pt 3.12

- Space group: P2_1/c, No. 14
- Energy of formation: -0.52 eV/atom
- Relative energy among the computed polymorphs: 6 meV/atom


(3)
The following is a PBE-GGA calculation of an optimized crystal structure of Be3InMo, from the Alexandria database.

a b c (Å): 4.3511 4.3511 4.3511
angles (deg): 90.00 90.00 90.00
With the nearest neighbours (Å) after each atom.
Element x y z (fractional)
Be 0.0000 0.0000 0.5000  2 Mo 2.18
Be 0.0000 0.5000 0.0000  2 Mo 2.18
Be 0.5000 0.0000 0.0000  2 Mo 2.18
In 0.5000 0.5000 0.5000  12 Be 3.08
Mo 0.0000 0.0000 0.0000  6 Be 2.18

- Space group: Pm-3m, No. 221
- Energy of formation: 1.13 eV/atom
- Relative energy among the computed polymorphs: 0 meV/atom


(4)
The following is a PBE-GGA calculation of an optimized crystal structure of LaSm6Er6, from the Alexandria database.

a b c (Å): 6.7064 6.7064 11.4305
angles (deg): 90.00 90.00 120.00
With the nearest neighbours (Å) after each atom.
Element x y z (fractional)
La 0.0000 0.0000 0.0000  8 Sm 3.87-3.99
Sm 0.0000 0.0000 0.3492  1 Sm 3.45, 6 Er 3.55
Sm 0.0000 0.0000 0.6508  1 Sm 3.45, 6 Er 3.55
Sm 0.3333 0.6667 0.0000  6 Er 3.42
Sm 0.3333 0.6667 0.5000  6 Er 3.48, 3 Sm 3.87
Sm 0.6667 0.3333 0.0000  6 Er 3.42
Sm 0.6667 0.3333 0.5000  6 Er 3.48, 3 Sm 3.87
Er 0.0000 0.5000 0.2470  4 Er 3.35, 6 Sm 3.42-3.55
Er 0.0000 0.5000 0.7530  4 Er 3.35, 6 Sm 3.42-3.55
Er 0.5000 0.0000 0.2470  4 Er 3.35, 6 Sm 3.42-3.55
Er 0.5000 0.0000 0.7530  4 Er 3.35, 6 Sm 3.42-3.55
Er 0.5000 0.5000 0.2470  4 Er 3.35, 6 Sm 3.42-3.55
Er 0.5000 0.5000 0.7530  4 Er 3.35, 6 Sm 3.42-3.55

- Space group: P6/mmm, No. 191
- Energy of formation: 0.25 eV/atom


(5)
The following is a PBE-GGA calculation of an optimized crystal structure of PmSmTmSc, from the Alexandria database.

a b c (Å): 12.1255 5.6447 3.7920
angles (deg): 90.00 108.17 90.00
With the nearest neighbours (Å) after each atom.
Element x y z (fractional)
Pm 0.0000 0.0000 0.0000  4 Sc 3.40-3.41, 2 Tm 3.58-3.59, 2 Sm 3.68-3.69, 2 Pm 3.79
Pm 0.5000 0.5000 0.0000  4 Sc 3.40-3.41, 2 Tm 3.58-3.59, 2 Sm 3.68-3.69, 2 Pm 3.79
Sm 0.2256 0.5000 0.2222  2 Sc 3.29-3.30, 4 Tm 3.43, 1 Pm 3.68
Sm 0.7256 0.0000 0.2222  2 Sc 3.29-3.30, 4 Tm 3.43, 1 Pm 3.68
Tm 0.2641 0.0000 0.7610  2 Sc 3.23-3.24, 4 Sm 3.43, 2 Pm 3.58-3.59
Tm 0.7641 0.5000 0.7610  2 Sc 3.23-3.24, 4 Sm 3.43, 2 Pm 3.58-3.59
Sc 0.4916 0.0000 0.4896  2 Tm 3.23-3.24, 2 Sm 3.29-3.30, 4 Pm 3.40-3.41
Sc 0.9916 0.5000 0.4896  2 Tm 3.23-3.24, 2 Sm 3.29-3.30, 4 Pm 3.40-3.41

- Space group: Cm, No. 8
- Energy of formation: 0.09 eV/atom


(6)
The following is a PBE-GGA calculation of an optimized crystal structure of FeCoTe, from the Alexandria database.

a b c (Å): 5.8559 5.8559 5.8559
angles (deg): 90.00 90.00 90.00
With the nearest neighbours (Å) after each atom.
Element x y z (fractional)
Fe 0.0000 0.0000 0.0000  4 Co 2.54
Fe 0.0000 0.5000 0.5000  4 Co 2.54
Fe 0.5000 0.0000 0.5000  4 Co 2.54
Fe 0.5000 0.5000 0.0000  4 Co 2.54
Co 0.2500 0.2500 0.2500  4 Fe 2.54, 4 Te 2.54
Co 0.2500 0.7500 0.7500  4 Fe 2.54, 4 Te 2.54
Co 0.7500 0.2500 0.7500  4 Fe 2.54, 4 Te 2.54
Co 0.7500 0.7500 0.2500  4 Fe 2.54, 4 Te 2.54
Te 0.0000 0.0000 0.5000  4 Co 2.54
Te 0.0000 0.5000 0.0000  4 Co 2.54
Te 0.5000 0.0000 0.0000  4 Co 2.54
Te 0.5000 0.5000 0.5000  4 Co 2.54

- Space group: F-43m, No. 216
- Relative energy among the computed polymorphs: 71 meV/atom


Copy entry 2 word for word.
The following is a PBE-GGA calculation of an optimized crystal structure of Nd3AgPt, from the Alexandria database.

a b c (Å): 9.3074 7.7184 8.4310
angles (deg): 90.00 106.21 90.00
With the nearest neighbours (Å) after each atom.
Element x y z (fractional)
Nd 0.0774 0.0073 0.2173  1 Pt 2.96, 4 Ag 2.99-3.24
Nd 0.0774 0.4927 0.7173  1 Pt 2.96, 4 Ag 2.99-3.24
Nd 0.3092 0.1496 0.6198  3 Pt 2.92-3.06
Nd 0.3092 0.3504 0.1198  3 Pt 2.92-3.06
Nd 0.3612 0.6817 0.5006  3 Pt 3.09-3.23, 1 Ag 3.12
Nd 0.3612 0.8183 0.0006  3 Pt 3.09-3.23, 1 Ag 3.12
Nd 0.6388 0.1817 0.9994  3 Pt 3.09-3.23, 1 Ag 3.12
Nd 0.6388 0.3183 0.4994  3 Pt 3.09-3.23, 1 Ag 3.12
Nd 0.6908 0.6496 0.8802  3 Pt 2.92-3.06
Nd 0.6908 0.8504 0.3802  3 Pt 2.92-3.06
Nd 0.9226 0.5073 0.2827  1 Pt 2.96, 4 Ag 2.99-3.24
Nd 0.9226 0.9927 0.7827  1 Pt 2.96, 4 Ag 2.99-3.24
Ag 0.0569 0.6746 0.0306  1 Ag 2.89, 4 Nd 2.99-3.12
Ag 0.0569 0.8254 0.5306  1 Ag 2.89, 4 Nd 2.99-3.12
Ag 0.9431 0.1746 0.4694  1 Ag 2.89, 4 Nd 2.99-3.12
Ag 0.9431 0.3254 0.9694  1 Ag 2.89, 4 Nd 2.99-3.12
Pt 0.4080 0.0370 0.3182  7 Nd 2.92-3.23, 1 Pt 3.12
Pt 0.4080 0.4630 0.8182  7 Nd 2.92-3.23, 1 Pt 3.12
Pt 0.5920 0.5370 0.1818  7 Nd 2.92-3.23, 1 Pt 3.12
Pt 0.5920 0.9630 0.6818  7 Nd 2.92-3.23, 1 Pt 3.12

- Space group: P2_1/c, No. 14
- Energy of formation: -0.52 eV/atom
- Relative energy among the computed polymorphs: 6 meV/atom